Record 1
Density functional theory data (PBE) for a relaxed structure of Li2Tl3Te3.

Output
Volume (Å³ per cell): 516.6

Cell: 4.571 7.987 14.768 Å, 90.00 90.00 106.63°
Sites, in units of the cell vectors:
Te  0.373  0.745  0.945
Tl  0.055  0.110  0.893
Te  0.627  0.255  0.055
Te  0.662  0.324  0.750
Li  0.763  0.525  0.575
Tl  0.700  0.400  0.250
Tl  0.055  0.110  0.607
Li  0.237  0.475  0.425
Tl  0.945  0.890  0.107
Te  0.627  0.255  0.445
Tl  0.945  0.890  0.393
Li  0.763  0.525  0.925
Tl  0.300  0.600  0.750
Te  0.338  0.676  0.250
Li  0.237  0.475  0.075
Te  0.373  0.745  0.555

***

Record 2
Density functional theory data (PBE) for a relaxed structure of LiTlTe.

Output
Volume (Å³ per cell): 178.0

Cell: 4.084 7.085 7.386 Å, 118.66 106.05 90.00°
Sites, in units of the cell vectors:
Tl  0.160  0.660  0.319
Te  0.144  0.144  0.289
Te  0.856  0.856  0.711
Li  0.500  0.185  0.000
Tl  0.840  0.340  0.681
Li  0.500  0.815  0.000

***

Record 3
Density functional theory data (PBE) for a relaxed structure of LiTl2Te.

Output
Volume (Å³ per cell): 123.9

Cell: 4.589 4.589 7.299 Å, 70.99 70.99 60.48°
Sites, in units of the cell vectors:
Te  0.211  0.211  0.361
Tl  0.993  0.993  0.025
Tl  0.765  0.765  0.707
Li  0.531  0.531  0.406

***

Record 4
Density functional theory data (PBE) for a relaxed structure of LiTl2Te.

Output
Volume (Å³ per cell): 239.8

Cell: 8.794 8.794 6.949 Å, 50.75 50.75 90.00°
Sites, in units of the cell vectors:
Tl  0.375  0.379  0.750
Tl  0.129  0.625  0.250
Li  0.500  0.500  0.000
Te  0.000  0.000  0.000
Li  0.250  0.750  0.500
Tl  0.621  0.125  0.250
Te  0.750  0.250  0.500
Tl  0.875  0.871  0.750

***

Record 5
Density functional theory data (PBE) for a relaxed structure of LiTlTe.

Output
Volume (Å³ per cell): 91.3

Cell: 4.681 4.681 4.811 Å, 90.00 90.00 120.00°
Sites, in units of the cell vectors:
Li  0.667  0.333  0.592
Tl  0.333  0.667  0.092
Te  0.000  0.000  0.595

***

Record 6
Density functional theory data (PBE) for a relaxed structure of LiTlTe2.

Output
Volume (Å³ per cell): 130.1

Cell: 6.653 6.653 6.376 Å, 86.41 86.41 27.50°
Sites, in units of the cell vectors:
Te  0.262  0.262  0.421
Tl  0.517  0.517  0.392
Li  0.701  0.701  0.786
Te  0.020  0.020  0.902

***

Record 7
Density functional theory data (PBE) for a relaxed structure of LiTl3Te.

Output
Volume (Å³ per cell): 148.9

Cell: 5.301 5.301 5.301 Å, 90.00 90.00 90.00°
Sites, in units of the cell vectors:
Te  0.500  0.500  0.500
Tl  0.500  0.000  0.000
Tl  0.000  0.000  0.500
Li  0.000  0.000  0.000
Tl  0.000  0.500  0.000

***

Record 8
Density functional theory data (PBE) for a relaxed structure of LiTlTe2.

Output
Volume (Å³ per cell): 115.8

Cell: 4.194 4.173 6.617 Å, 90.00 90.00 90.00°
Sites, in units of the cell vectors:
Te  0.000  0.000  0.529
Li  0.500  0.500  0.750
Tl  0.500  0.500  0.250
Te  0.000  0.000  0.971

***

no.,total DFT energy (no corrections) (eV per atom)
1,-3.033
2,-2.902
3,-2.786
4,-2.722
5,-3.063
6,-2.996
7,-2.491
8,-3.008